BaAlNi2Sb | GGA-PBE | relaxed

abc: 4.762 4.762 5.343
angles: 90.00 90.00 90.00
Atoms (fractional coordinates):
Ba (0.500, 0.500, 0.500)
Sb (0.000, 0.000, 0.500)
Al (0.000, 0.000, 0.000)
Ni (0.500, 0.000, 0.000)
Ni (0.000, 0.500, 0.000)

Properties
The space-group type is P4/mmm. For the formation energy from raw total energies, the calculation gives 0.17 eV/atom.

BaScAlNi2 | GGA-PBE | relaxed

abc: 4.869 5.593 4.869
angles: 90.00 90.00 90.00
Atoms (fractional coordinates):
Ni (0.500, 0.000, 0.000)
Al (0.000, 0.500, 0.000)
Sc (0.500, 0.500, 0.500)
Ni (0.000, 0.000, 0.500)
Ba (0.000, 0.000, 0.000)

Properties
The space-group type is P4/mmm. For the energy relative to the elements, the calculation gives 1.408 eV/atom.

Ba2AlTlNi | GGA-PBE | relaxed

abc: 6.020 6.020 4.671
angles: 90.00 90.00 90.00
Atoms (fractional coordinates):
Tl (0.500, 0.500, 0.500)
Ni (0.000, 0.000, 0.000)
Ba (0.000, 0.500, 0.000)
Ba (0.500, 0.000, 0.000)
Al (0.000, 0.000, 0.500)

Properties
The space-group type is P4/mmm. For the energy relative to the elements, the calculation gives -0.150 eV/atom.

Ba2Al12ZnNi3 | GGA-PBE | relaxed

abc: 8.046 8.046 8.046
angles: 67.49 67.49 67.49
Atoms (fractional coordinates):
Al (0.268, 0.930, 0.268)
Ni (0.000, 0.500, 0.000)
Al (0.886, 0.886, 0.353)
Al (0.647, 0.114, 0.114)
Al (0.732, 0.732, 0.070)
Zn (0.000, 0.000, 0.000)
Al (0.732, 0.070, 0.732)
Ni (0.000, 0.000, 0.500)
Al (0.930, 0.268, 0.268)
Al (0.268, 0.268, 0.930)
Ba (0.396, 0.396, 0.396)
Al (0.070, 0.732, 0.732)
Al (0.886, 0.353, 0.886)
Ni (0.500, 0.000, 0.000)
Al (0.114, 0.647, 0.114)
Ba (0.604, 0.604, 0.604)
Al (0.114, 0.114, 0.647)
Al (0.353, 0.886, 0.886)

Properties
The space-group type is R-3m. For the energy relative to the elements, the calculation gives 0.006 eV/atom.

BaAlZn2Ni | GGA-PBE | relaxed

abc: 4.825 4.825 4.651
angles: 90.00 90.00 90.00
Atoms (fractional coordinates):
Zn (0.500, 0.000, 0.000)
Al (0.000, 0.000, 0.500)
Zn (0.000, 0.500, 0.000)
Ba (0.500, 0.500, 0.500)
Ni (0.000, 0.000, 0.000)

Properties
The space-group type is P4/mmm. For the energy relative to the elements, the calculation gives -0.218 eV/atom.

BaNpAl2O8 | GGA-PBE | relaxed

abc: 4.744 4.753 7.541
angles: 92.69 87.99 86.64
Atoms (fractional coordinates):
O (0.777, 0.225, 0.207)
Al (0.496, 0.506, 0.180)
Np (0.000, 0.000, 0.000)
O (0.426, 0.579, 0.429)
O (0.223, 0.775, 0.793)
Al (0.504, 0.494, 0.820)
O (0.795, 0.199, 0.811)
O (0.313, 0.315, 0.000)
Ba (0.000, 0.000, 0.500)
O (0.574, 0.421, 0.571)
O (0.205, 0.801, 0.189)
O (0.687, 0.685, 0.000)

Properties
The space-group type is P-1. For the formation energy from raw total energies, the calculation gives -2.54 eV/atom.

BaNp2AlO8 | GGA-PBE | relaxed

abc: 5.033 5.033 7.129
angles: 88.16 88.15 83.67
Atoms (fractional coordinates):
O (0.342, 0.342, 0.465)
Np (0.508, 0.508, 0.231)
Np (0.492, 0.492, 0.769)
O (0.195, 0.797, 0.189)
O (0.658, 0.658, 0.535)
O (0.797, 0.195, 0.189)
O (0.203, 0.805, 0.811)
Ba (0.000, 0.000, 0.500)
Al (0.000, 0.000, 0.000)
O (0.312, 0.312, 0.996)
O (0.688, 0.688, 0.004)
O (0.805, 0.203, 0.811)

Properties
The space-group type is C2/m. For the formation energy from raw total energies, the calculation gives -2.74 eV/atom.

BaNpAl2O6 | GGA-PBE | relaxed

abc: 7.211 7.211 5.899
angles: 100.33 100.33 87.26
Atoms (fractional coordinates):
O (0.531, 0.691, 0.134)
O (0.172, 0.144, 0.026)
O (0.828, 0.856, 0.974)
Al (0.296, 0.126, 0.787)
O (0.617, 0.108, 0.292)
Al (0.126, 0.296, 0.287)
O (0.383, 0.892, 0.708)
Np (0.399, 0.601, 0.750)
O (0.309, 0.469, 0.366)
O (0.144, 0.172, 0.526)
Al (0.704, 0.874, 0.213)
O (0.892, 0.383, 0.208)
O (0.856, 0.828, 0.474)
Ba (0.175, 0.825, 0.250)
O (0.108, 0.617, 0.792)
Np (0.601, 0.399, 0.250)
Al (0.874, 0.704, 0.713)
O (0.691, 0.531, 0.634)
Ba (0.825, 0.175, 0.750)
O (0.469, 0.309, 0.866)

Properties
The space-group type is C2/c. For the formation energy from raw total energies, the calculation gives -2.98 eV/atom.

Number 1: size of the total moment 0.00 μB/cell. Number 2: size of the total moment 0.00 μB/cell. Number 3: size of the total moment 0.00 μB/cell. Number 4: size of the total moment 0.00 μB/cell. Number 5: size of the total moment 0.00 μB/cell. Number 6: size of the total moment 1.00 μB/cell. Number 7: size of the total moment 3.00 μB/cell. Number 8: size of the total moment 6.00 μB/cell.